# 1
# Ba2CdIn

A relaxed Ba2CdIn crystal (PBE-GGA, the Alexandria database).

abc: 4.2529 4.2763 8.5469
angles: 90.00 90.00 90.00
Element x y z (fractional)
Ba: 0.0000 0.0000 0.2483
Ba: 0.0000 0.0000 0.7517
Cd: 0.5000 0.5000 0.5000
In: 0.5000 0.5000 0.0000

Properties
magnetic moment	0.0	μB per formula unit
E_tot	-2.24	eV per atom
space group	Pmmm, No. 47

# 2
# Ba2CdIn

A relaxed Ba2CdIn crystal (PBE-GGA, the Alexandria database).

abc: 5.8775 5.8775 5.8775
angles: 60.00 60.00 60.00
Element x y z (fractional)
Ba: 0.0000 0.0000 0.0000
Ba: 0.2500 0.2500 0.2500
Cd: 0.7500 0.7500 0.7500
In: 0.5000 0.5000 0.5000

Properties
magnetic moment	0.0	μB per formula unit
E_tot	-2.04	eV per atom
space group	F-43m, No. 216

Q: The lowest E_tot belongs to which entry?
A: number 1